Computed, not measured: crystalline PrSb2Pt7Pb2 at its relaxed geometry at the PBE level of DFT.

## Properties
energy relative to the elements, uncorrected	-0.472	eV/atom
density of states at the Fermi level	3.713	states/eV/f.u.
E_tot	-68.39	eV for the cell shown

a b c (Å): 4.0757 4.0757 16.7022
angles (deg): 83.03 83.03 90.04
Sites, in units of the cell vectors:
Pt1 0.5000 0.5000 0.0000
Pr1 0.0000 0.0000 0.0000
Pt2 0.9323 0.4319 0.1361
Pt3 0.4319 0.9323 0.1361
Pt4 0.5681 0.0677 0.8639
Sb1 0.3813 0.3813 0.2389
Sb2 0.6187 0.6187 0.7611
Pb1 0.2137 0.2137 0.5720
Pt5 0.6976 0.6976 0.6025
Pt6 0.0677 0.5681 0.8639
Pb2 0.7863 0.7863 0.4280
Pt7 0.3024 0.3024 0.3975